# 1
NaLi2BiC PBE relaxed; energy of formation = 1174 meV/atom; density of states at the Fermi level = 3.77 states/eV/cell; total energy = -2.477 eV per atom; volume = 170.2 Å³ per cell
1.0
-1.315 -5.110 0.492
2.306 -0.053 5.605
-4.721 1.403 1.955
Na C Bi Li
1 1 1 2
Direct
0.000 0.500 0.000
0.500 0.500 0.500
0.000 0.000 0.000
0.000 0.000 0.500
0.500 0.000 0.000

=====

# 2
LiBiCSO7 PBE relaxed; density of states at the Fermi level = 0.00 states/eV/cell; total energy = -6.374 eV per atom; volume = 346.3 Å³ per cell
1.0
-6.242 2.629 -1.152
-2.054 -4.830 0.109
-1.539 0.498 9.471
Li Bi C S O
2 2 2 2 14
Direct
0.508 0.304 0.848
0.008 0.696 0.152
0.745 0.818 0.625
0.245 0.182 0.375
0.744 0.803 0.902
0.244 0.197 0.098
0.255 0.654 0.614
0.755 0.346 0.386
0.297 0.215 0.976
0.721 0.023 0.829
0.708 0.599 0.824
0.081 0.763 0.681
0.408 0.862 0.612
0.707 0.389 0.538
0.324 0.420 0.683
0.824 0.580 0.317
0.207 0.611 0.462
0.908 0.138 0.388
0.581 0.237 0.319
0.208 0.401 0.176
0.221 0.977 0.171
0.797 0.785 0.024

=====

# 3
Li3SiBiCO7 PBE relaxed; density of states at the Fermi level = 0.00 states/eV/cell; total energy = -6.507 eV per atom; volume = 311.8 Å³ per cell
1.0
-3.654 -1.325 5.658
4.223 -1.126 2.464
1.907 8.356 3.189
Li Si Bi C O
6 2 2 2 14
Direct
0.250 0.148 0.902
0.048 0.703 0.750
0.452 0.703 0.750
0.548 0.297 0.250
0.952 0.297 0.250
0.750 0.852 0.098
0.250 0.234 0.612
0.750 0.766 0.388
0.750 0.221 0.648
0.250 0.779 0.352
0.750 0.391 0.957
0.250 0.609 0.043
0.250 0.544 0.909
0.750 0.141 0.937
0.750 0.578 0.843
0.066 0.103 0.714
0.434 0.103 0.714
0.250 0.567 0.603
0.750 0.828 0.560
0.250 0.172 0.440
0.750 0.433 0.397
0.566 0.897 0.286
0.934 0.897 0.286
0.250 0.422 0.157
0.250 0.859 0.063
0.750 0.456 0.091

=====

# 4
RbLiBi2C PBE relaxed; energy of formation = 790 meV/atom; density of states at the Fermi level = 2.66 states/eV/cell; total energy = -3.183 eV per atom; volume = 146.8 Å³ per cell
1.0
5.093 0.000 0.000
0.000 5.660 0.000
0.000 0.000 5.093
C Bi Rb Li
1 2 1 1
Direct
0.000 0.000 0.000
0.000 0.000 0.500
0.500 0.000 0.000
0.000 0.500 0.000
0.500 0.500 0.500

=====

# 5
Li2BiRhC PBE relaxed; energy of formation = 1618 meV/atom; density of states at the Fermi level = 4.88 states/eV/cell; total energy = -3.239 eV per atom; volume = 118.1 Å³ per cell
1.0
5.158 0.000 0.000
0.000 4.437 0.000
0.000 0.000 5.158
C Rh Bi Li
1 1 1 2
Direct
0.000 0.500 0.000
0.500 0.500 0.500
0.000 0.000 0.000
0.000 0.000 0.500
0.500 0.000 0.000

=====

# 6
LiSc2BiC PBE relaxed; energy of formation = -520 meV/atom; density of states at the Fermi level = 1.12 states/eV/cell; total energy = -6.057 eV per atom; volume = 90.6 Å³ per cell
1.0
4.535 0.000 0.000
0.000 4.535 0.000
0.000 0.000 4.404
Sc C Bi Li
2 1 1 1
Direct
0.000 0.500 0.000
0.500 0.000 0.000
0.000 0.000 0.000
0.500 0.500 0.500
0.000 0.000 0.500

=====

# 7
LiScBi2C PBE relaxed; energy of formation = 708 meV/atom; density of states at the Fermi level = 2.77 states/eV/cell; total energy = -4.338 eV per atom; volume = 138.0 Å³ per cell
1.0
5.679 0.000 0.000
0.000 4.279 0.000
0.000 0.000 5.679
Sc C Bi Li
1 1 2 1
Direct
0.000 0.000 0.000
0.000 0.500 0.000
0.000 0.000 0.500
0.500 0.000 0.000
0.500 0.500 0.500

=====

# 8
Li2SiBiC PBE relaxed; density of states at the Fermi level = 1.82 states/eV/cell; total energy = -2.846 eV per atom; volume = 153.2 Å³ per cell
1.0
5.306 0.000 0.000
0.000 5.441 0.000
0.000 0.000 5.306
C Si Bi Li
1 1 1 2
Direct
0.500 0.500 0.500
0.000 0.500 0.000
0.000 0.000 0.000
0.000 0.000 0.500
0.500 0.000 0.000

=====

# 9
LiSiBi2C PBE relaxed; density of states at the Fermi level = 2.55 states/eV/cell; total energy = -4.283 eV per atom; volume = 105.4 Å³ per cell
1.0
-1.413 -5.083 0.886
2.924 -0.032 4.480
-2.925 1.148 1.918
C Si Bi Li
1 1 2 1
Direct
0.000 0.000 0.000
0.000 0.000 0.500
0.000 0.500 0.000
0.500 0.000 0.000
0.500 0.500 0.500

=====

# 10
LiSi2BiC PBE relaxed; density of states at the Fermi level = 1.87 states/eV/cell; total energy = -3.435 eV per atom; volume = 92.9 Å³ per cell
1.0
4.170 0.000 0.000
0.000 5.343 0.000
0.000 0.000 4.170
C Si Bi Li
1 2 1 1
Direct
0.500 0.500 0.500
0.000 0.000 0.500
0.500 0.000 0.000
0.000 0.500 0.000
0.000 0.000 0.000

=====

# 11
LiY2BiC PBE relaxed; energy of formation = -488 meV/atom; density of states at the Fermi level = 0.94 states/eV/cell; total energy = -6.077 eV per atom; volume = 107.7 Å³ per cell
1.0
-2.908 -0.858 3.870
-1.938 -3.879 -2.317
3.133 -2.624 1.773
Y C Bi Li
2 1 1 1
Direct
0.000 0.500 0.000
0.500 0.000 0.000
0.000 0.000 0.000
0.500 0.500 0.500
0.000 0.000 0.500

=====

# 12
LiZrBiC2 PBE relaxed; energy of formation = 1816 meV/atom; density of states at the Fermi level = 2.76 states/eV/cell; total energy = -4.742 eV per atom; volume = 78.5 Å³ per cell
1.0
4.122 0.000 0.000
0.000 4.618 0.000
0.000 0.000 4.122
C Bi Zr Li
2 1 1 1
Direct
0.000 0.000 0.500
0.500 0.000 0.000
0.000 0.500 0.000
0.500 0.500 0.500
0.000 0.000 0.000

=====

# 13
Lu12Bi3C5 PBE relaxed; energy of formation = -299 meV/atom; density of states at the Fermi level = 63.06 states/eV/cell; total energy = -5.900 eV per atom; volume = 1895.5 Å³ per cell
1.0
13.504 0.000 0.000
-4.501 12.731 0.000
-4.501 -6.366 11.026
C Lu Bi
20 48 12
Direct
0.125 0.375 0.250
0.000 0.500 0.000
0.000 0.000 0.000
0.375 0.250 0.125
0.500 0.000 0.500
0.500 0.500 0.000
0.125 0.750 0.375
0.750 0.125 0.875
0.750 0.625 0.375
0.375 0.125 0.750
0.625 0.875 0.250
0.500 0.500 0.500
0.500 0.000 0.000
0.000 0.000 0.500
0.250 0.375 0.625
0.250 0.875 0.125
0.000 0.500 0.500
0.875 0.250 0.625
0.625 0.750 0.875
0.875 0.625 0.750
0.695 0.108 0.010
0.315 0.510 0.402
0.990 0.392 0.305
0.510 0.195 0.108
0.587 0.695 0.685
0.990 0.598 0.185
0.315 0.805 0.413
0.098 0.913 0.108
0.598 0.990 0.685
0.695 0.587 0.185
0.805 0.490 0.392
0.815 0.902 0.010
0.108 0.695 0.510
0.392 0.402 0.087
0.087 0.902 0.392
0.413 0.108 0.598
0.087 0.185 0.195
0.490 0.685 0.098
0.815 0.913 0.305
0.108 0.413 0.098
0.392 0.990 0.805
0.598 0.608 0.413
0.902 0.815 0.510
0.805 0.315 0.913
0.402 0.392 0.587
0.098 0.185 0.490
0.195 0.685 0.087
0.185 0.087 0.695
0.608 0.010 0.195
0.892 0.587 0.902
0.510 0.315 0.902
0.587 0.892 0.402
0.913 0.815 0.805
0.913 0.098 0.608
0.892 0.305 0.490
0.185 0.098 0.990
0.608 0.598 0.913
0.402 0.010 0.315
0.305 0.413 0.815
0.195 0.510 0.608
0.902 0.087 0.892
0.685 0.195 0.587
0.490 0.805 0.892
0.010 0.402 0.815
0.413 0.305 0.315
0.010 0.608 0.695
0.685 0.490 0.598
0.305 0.892 0.990
0.750 0.375 0.125
0.875 0.750 0.125
0.375 0.750 0.625
0.250 0.125 0.375
0.875 0.125 0.250
0.375 0.625 0.250
0.625 0.375 0.750
0.125 0.875 0.750
0.750 0.875 0.625
0.625 0.250 0.375
0.125 0.250 0.875
0.250 0.625 0.875

=====

# 14
Lu2BiC PBE relaxed; energy of formation = -616 meV/atom; density of states at the Fermi level = 1.67 states/eV/cell; total energy = -6.153 eV per atom; volume = 85.5 Å³ per cell
1.0
3.606 0.000 0.000
1.803 3.123 0.000
1.803 1.041 7.595
C Lu Bi
1 2 1
Direct
0.000 0.000 0.000
0.278 0.278 0.166
0.722 0.722 0.834
0.500 0.500 0.500

=====

# 15
MgBi2C PBE relaxed; energy of formation = 825 meV/atom; density of states at the Fermi level = 0.00 states/eV/cell; total energy = -3.820 eV per atom; volume = 213.9 Å³ per cell; energy above the lowest structure with this stoichiometry = 0.000 eV per atom
1.0
6.569 0.000 0.000
0.000 6.569 0.000
3.285 3.285 4.957
C Mg Bi
2 2 4
Direct
0.500 0.500 0.000
0.250 0.750 0.500
0.000 0.000 0.000
0.750 0.250 0.500
0.551 0.125 0.250
0.199 0.625 0.250
0.375 0.449 0.750
0.875 0.801 0.750

=====

# 16
Mg14BiC PBE relaxed; energy of formation = 265 meV/atom; density of states at the Fermi level = 7.88 states/eV/cell; total energy = -1.949 eV per atom; volume = 350.0 Å³ per cell; energy above the lowest structure with this stoichiometry = 0.095 eV per atom
1.0
-0.571 -0.814 -6.267
-3.660 -3.323 3.978
-6.927 7.256 -0.311
Mg Bi C
14 1 1
Direct
0.987 0.493 0.000
0.006 0.503 0.500
0.507 0.013 0.000
0.497 0.994 0.500
0.507 0.493 0.000
0.497 0.503 0.500
0.161 0.839 0.224
0.161 0.839 0.776
0.161 0.322 0.224
0.161 0.322 0.776
0.678 0.839 0.224
0.678 0.839 0.776
0.667 0.333 0.253
0.667 0.333 0.747
0.000 0.000 0.500
0.000 0.000 0.000

=====

# 17
Mg2BiC PBE relaxed; energy of formation = 550 meV/atom; density of states at the Fermi level = 3.68 states/eV/cell; total energy = -3.523 eV per atom; volume = 161.6 Å³ per cell; energy above the lowest structure with this stoichiometry = 0.000 eV per atom
1.0
7.390 0.000 0.000
0.000 7.390 0.000
3.695 3.695 2.958
C Mg Bi
2 4 2
Direct
0.500 0.500 0.000
0.250 0.750 0.500
0.253 0.125 0.250
0.497 0.625 0.250
0.375 0.747 0.750
0.875 0.503 0.750
0.000 0.000 0.000
0.750 0.250 0.500

=====

# 18
Mg14BiC PBE relaxed; energy of formation = 170 meV/atom; density of states at the Fermi level = 5.33 states/eV/cell; total energy = -2.044 eV per atom; volume = 377.2 Å³ per cell; energy above the lowest structure with this stoichiometry = 0.000 eV per atom
1.0
4.359 0.006 4.612
-5.241 3.010 1.936
-3.661 -8.608 3.471
Mg Bi C
14 1 1
Direct
0.106 0.894 0.000
0.637 0.363 0.000
0.067 0.347 0.500
0.156 0.413 0.000
0.653 0.933 0.500
0.587 0.844 0.000
0.350 0.137 0.751
0.350 0.137 0.249
0.863 0.650 0.751
0.863 0.650 0.249
0.351 0.649 0.721
0.351 0.649 0.279
0.858 0.142 0.774
0.858 0.142 0.226
0.593 0.407 0.500
0.355 0.645 0.500

=====

# 19
MgBi2C PBE relaxed; energy of formation = 1291 meV/atom; density of states at the Fermi level = 3.52 states/eV/cell; total energy = -3.354 eV per atom; volume = 90.0 Å³ per cell; energy above the lowest structure with this stoichiometry = 0.466 eV per atom
1.0
3.007 -1.543 -3.725
1.966 -4.628 0.109
-1.605 -3.491 -3.245
C Mg Bi
1 1 2
Direct
0.000 0.000 0.000
0.500 0.500 0.500
0.250 0.250 0.250
0.750 0.750 0.750

=====

# 20
Mg2BiC PBE relaxed; energy of formation = 1051 meV/atom; density of states at the Fermi level = 2.54 states/eV/cell; total energy = -3.023 eV per atom; volume = 78.1 Å³ per cell; energy above the lowest structure with this stoichiometry = 0.501 eV per atom
1.0
0.000 3.393 3.393
3.393 0.000 3.393
3.393 3.393 0.000
C Mg Bi
1 2 1
Direct
0.000 0.000 0.000
0.250 0.250 0.250
0.750 0.750 0.750
0.500 0.500 0.500